Record 1
Compound: ScAlW2
Source: Alexandria
Functional: GGA-PBE
Structure: relaxed

**ΔH_f (0 K)**: 0.079 eV per atom
**SG**: Imm2

a = 5.253 Å, b = 5.253 Å, c = 5.253 Å
α = 141.99°, β = 128.09°, γ = 66.12°
Element x y z (fractional)
Sc 0.000 0.000 0.000
Al 0.271 0.771 0.500
W 0.526 0.526 0.000
W 0.743 0.243 0.500

Record 2
Compound: MgAl2Te
Source: Alexandria
Functional: GGA-PBE
Structure: relaxed

**Energy relative to the elements, uncorrected**: 22 kJ/mol of atoms
**SG**: Cmmm

a = 3.062 Å, b = 3.062 Å, c = 9.640 Å
α = 90.00°, β = 90.00°, γ = 100.64°
Element x y z (fractional)
Mg 0.000 0.000 0.000
Al 0.500 0.500 0.225
Al 0.500 0.500 0.775
Te 0.000 0.000 0.500

Record 3
Compound: Sm2YAl2Ga2
Source: Alexandria
Functional: GGA-PBE
Structure: relaxed

**ΔH_f (0 K)**: -0.415 eV per atom
**SG**: R-3m

a = 11.355 Å, b = 11.355 Å, c = 11.355 Å
α = 21.67°, β = 21.67°, γ = 21.67°
Element x y z (fractional)
Sm 0.124 0.124 0.124
Sm 0.876 0.876 0.876
Y 0.000 0.000 0.000
Al 0.392 0.392 0.392
Al 0.608 0.608 0.608
Ga 0.266 0.266 0.266
Ga 0.734 0.734 0.734

Record 4
Compound: Sm5CoTe2
Source: Alexandria
Functional: GGA-PBE
Structure: relaxed

**Energy relative to the elements, uncorrected**: -49 kJ/mol of atoms
**SG**: Cmcm

a = 6.658 Å, b = 6.658 Å, c = 14.632 Å
α = 90.00°, β = 90.00°, γ = 126.55°
Element x y z (fractional)
Sm 0.065 0.935 0.627
Sm 0.065 0.935 0.873
Sm 0.309 0.691 0.250
Sm 0.368 0.632 0.620
Sm 0.368 0.632 0.880
Sm 0.632 0.368 0.120
Sm 0.632 0.368 0.380
Sm 0.691 0.309 0.750
Sm 0.935 0.065 0.127
Sm 0.935 0.065 0.373
Co 0.220 0.780 0.750
Co 0.780 0.220 0.250
Te 0.190 0.810 0.059
Te 0.190 0.810 0.441
Te 0.810 0.190 0.559
Te 0.810 0.190 0.941

Record 5
Compound: HgRuW2
Source: Alexandria
Functional: GGA-PBE
Structure: relaxed

**ΔH_f (0 K)**: 0.414 eV per atom
**SG**: P4mm

a = 2.859 Å, b = 2.859 Å, c = 8.211 Å
α = 90.00°, β = 90.00°, γ = 90.00°
Element x y z (fractional)
Hg 0.000 0.000 0.000
Ru 0.500 0.500 0.265
W 0.000 0.000 0.471
W 0.500 0.500 0.725

Record 6
Compound: NdSiS3
Source: Alexandria
Functional: GGA-PBE
Structure: relaxed

**Energy relative to the elements, uncorrected**: -130 kJ/mol of atoms
**SG**: P2_1/c

a = 6.648 Å, b = 7.495 Å, c = 11.060 Å
α = 90.00°, β = 124.24°, γ = 90.00°
Element x y z (fractional)
Nd 0.213 0.127 0.252
Nd 0.213 0.373 0.752
Nd 0.787 0.627 0.248
Nd 0.787 0.873 0.748
Si 0.147 0.603 0.069
Si 0.147 0.897 0.569
Si 0.853 0.103 0.431
Si 0.853 0.397 0.931
S 0.065 0.182 0.929
S 0.065 0.318 0.429
S 0.287 0.685 0.945
S 0.287 0.815 0.445
S 0.411 0.015 0.772
S 0.411 0.485 0.272
S 0.589 0.515 0.728
S 0.589 0.985 0.228
S 0.713 0.185 0.555
S 0.713 0.315 0.055
S 0.935 0.682 0.571
S 0.935 0.818 0.071

Record 7
Compound: BaMn2Se
Source: Alexandria
Functional: GGA-PBE
Structure: relaxed

**Energy relative to the elements, uncorrected**: 24 kJ/mol of atoms
**SG**: Pmmm

a = 4.436 Å, b = 4.447 Å, c = 5.604 Å
α = 90.00°, β = 90.00°, γ = 90.00°
Element x y z (fractional)
Ba 0.000 0.000 0.000
Mn 0.000 0.500 0.500
Mn 0.500 0.000 0.500
Se 0.500 0.500 0.000

Record 8
Compound: Nd2PaPt3
Source: Alexandria
Functional: GGA-PBE
Structure: relaxed

**ΔH_f (0 K)**: -1.026 eV per atom
**SG**: Fddd

a = 13.726 Å, b = 13.088 Å, c = 7.216 Å
α = 79.33°, β = 69.56°, γ = 31.11°
Element x y z (fractional)
Nd 0.043 0.043 0.207
Nd 0.125 0.125 0.625
Nd 0.207 0.207 0.043
Nd 0.375 0.375 0.875
Nd 0.625 0.625 0.125
Nd 0.793 0.793 0.957
Nd 0.875 0.875 0.375
Nd 0.957 0.957 0.793
Pa 0.291 0.291 0.459
Pa 0.459 0.459 0.291
Pa 0.541 0.541 0.709
Pa 0.709 0.709 0.541
Pt 0.039 0.537 0.229
Pt 0.145 0.605 0.605
Pt 0.229 0.695 0.039
Pt 0.305 0.771 0.463
Pt 0.395 0.855 0.855
Pt 0.463 0.961 0.305
Pt 0.537 0.039 0.695
Pt 0.605 0.145 0.145
Pt 0.695 0.229 0.537
Pt 0.771 0.305 0.961
Pt 0.855 0.395 0.395
Pt 0.961 0.463 0.771

Record 9
Compound: KAgRh
Source: Alexandria
Functional: GGA-PBE
Structure: relaxed

**ΔH_f (0 K)**: 0.487 eV per atom
**SG**: I4mm

a = 6.333 Å, b = 6.333 Å, c = 6.333 Å
α = 147.23°, β = 147.23°, γ = 47.02°
Element x y z (fractional)
K 0.000 0.000 0.000
Ag 0.284 0.284 0.000
Rh 0.715 0.715 0.000

Record 10
Compound: AuNF2
Source: Alexandria
Functional: GGA-PBE
Structure: relaxed

**Energy relative to the elements, uncorrected**: 87 kJ/mol of atoms
**SG**: I4/mcm

a = 6.249 Å, b = 6.249 Å, c = 6.249 Å
α = 109.11°, β = 109.11°, γ = 110.19°
Element x y z (fractional)
Au 0.250 0.750 0.500
Au 0.750 0.250 0.500
N 0.000 0.000 0.000
N 0.500 0.500 0.000
F 0.119 0.619 0.738
F 0.381 0.119 0.500
F 0.619 0.881 0.500
F 0.881 0.381 0.262

Record 11
Compound: Pm2Sm5
Source: Alexandria
Functional: GGA-PBE
Structure: relaxed

**ΔH_f (0 K)**: 0.132 eV per atom
**SG**: R-3m

a = 8.963 Å, b = 8.963 Å, c = 8.963 Å
α = 37.45°, β = 37.45°, γ = 37.45°
Element x y z (fractional)
Pm 0.136 0.136 0.136
Pm 0.864 0.864 0.864
Sm 0.000 0.000 0.000
Sm 0.273 0.273 0.273
Sm 0.415 0.415 0.415
Sm 0.585 0.585 0.585
Sm 0.727 0.727 0.727

Record 12
Compound: Bi2Pb2Au3
Source: Alexandria
Functional: GGA-PBE
Structure: relaxed

**ΔH_f (0 K)**: -0.051 eV per atom
**SG**: C2/m

a = 7.454 Å, b = 7.454 Å, c = 5.950 Å
α = 94.52°, β = 94.52°, γ = 35.51°
Element x y z (fractional)
Bi 0.089 0.089 0.296
Bi 0.911 0.911 0.704
Pb 0.342 0.342 0.137
Pb 0.658 0.658 0.863
Au 0.252 0.252 0.652
Au 0.500 0.500 0.500
Au 0.748 0.748 0.348

Number 1: uncorrected energy -8.916 eV/atom. Number 2: uncorrected energy -2.831 eV/atom. Number 3: uncorrected energy -4.621 eV/atom. Number 4: uncorrected energy -5.127 eV/atom. Number 5: uncorrected energy -8.457 eV/atom. Number 6: uncorrected energy -5.858 eV/atom. Number 7: uncorrected energy -5.686 eV/atom. Number 8: uncorrected energy -7.218 eV/atom. Number 9: uncorrected energy -3.279 eV/atom. Number 10: uncorrected energy -2.935 eV/atom. Number 11: uncorrected energy -4.596 eV/atom. Number 12: uncorrected energy -3.624 eV/atom.